# PuAl2Ga, optimized geometry, DFT PBE-GGA
data_PuAl2Ga
_space_group_name_H-M_alt 'P 1'
_space_group_IT_number 1
_space_group_name_Hall 'P 1'
_cell_length_a 4.640
_cell_length_b 8.830
_cell_length_c 9.423
_cell_angle_alpha 90.00
_cell_angle_beta 119.50
_cell_angle_gamma 90.00
loop_
_atom_site_label
_atom_site_type_symbol
_atom_site_fract_x
_atom_site_fract_y
_atom_site_fract_z
Pu1 Pu 0.169 0.106 0.169
Pu2 Pu 0.169 0.394 0.669
Pu3 Pu 0.831 0.606 0.331
Pu4 Pu 0.831 0.894 0.831
Al1 Al 0.151 0.734 0.151
Al2 Al 0.151 0.766 0.651
Al3 Al 0.377 0.101 0.877
Al4 Al 0.377 0.399 0.377
Al5 Al 0.623 0.601 0.623
Al6 Al 0.623 0.899 0.123
Al7 Al 0.849 0.234 0.349
Al8 Al 0.849 0.266 0.849
Ga1 Ga 0.447 0.638 0.949
Ga2 Ga 0.447 0.862 0.449
Ga3 Ga 0.553 0.138 0.551
Ga4 Ga 0.553 0.362 0.051
# Space-group type: No. 14
# N(E_F) in states/eV per cell: 30.976
# Final energy in eV/cell: -100.52
# E_form in eV/f.u.: -0.29